Density functional theory data (PBE-GGA) for crystalline SrUTe4Au at its relaxed geometry.

Cell and atoms, written as POSCAR:
```
SrUTe4Au
1.0
7.844 0.000 -0.013
0.000 6.341 0.000
-3.077 0.000 8.777
Sr U Te Au
2 2 8 2
Direct
0.765 0.750 0.935
0.235 0.250 0.065
0.718 0.750 0.436
0.282 0.250 0.564
0.034 0.509 0.724
0.966 0.009 0.276
0.966 0.491 0.276
0.034 0.991 0.724
0.445 0.750 0.104
0.555 0.250 0.896
0.428 0.750 0.607
0.572 0.250 0.393
0.264 0.750 0.298
0.736 0.250 0.702
```

Calculated total energy   -67.66 eV for the cell shown
Density of states at the Fermi level   14.4 states/eV per cell
Magnetic moment   4.39 Bohr magnetons per cell
Uncorrected formation energy   -0.717 eV per atom